VASP calculation (PBE) on ScGeIr after structural relaxation.

abc: 6.4911 4.1496 7.5359
angles: 90.00 90.00 90.00
Fractional coordinates of all 12 atoms:
Ir 0.6630 0.7500 0.9420
Ir 0.1630 0.7500 0.5580
Ir 0.3370 0.2500 0.0580
Ir 0.8370 0.2500 0.4420
Ge 0.2201 0.2500 0.3785
Ge 0.7799 0.7500 0.6215
Ge 0.7201 0.2500 0.1215
Ge 0.2799 0.7500 0.8785
Sc 0.4818 0.2500 0.6887
Sc 0.9818 0.2500 0.8113
Sc 0.5182 0.7500 0.3113
Sc 0.0182 0.7500 0.1887

## Properties
spin magnetization = 0.000 μB per atom
total energy = -90.64 eV per cell

VASP calculation (PBE) on Sc2SiGeIr4 after structural relaxation.

abc: 6.9954 5.2266 5.2266
angles: 41.78 90.00 90.00
Fractional coordinates of all 8 atoms:
Sc 0.0000 0.4448 0.4448
Sc 0.5000 0.5575 0.5575
Ir 0.2116 0.1328 0.1328
Ir 0.3014 0.8649 0.8649
Ir 0.7884 0.1328 0.1328
Ir 0.6986 0.8649 0.8649
Si 0.5000 0.2756 0.2756
Ge 0.0000 0.7268 0.7268

## Properties
spin magnetization = 0.002 μB per atom
total energy = -64.20 eV per cell

VASP calculation (PBE) on Ge3Ir2Se3 after structural relaxation.

abc: 8.7622 8.7622 8.7622
angles: 90.00 90.00 90.00
Fractional coordinates of all 32 atoms:
Ge 0.3599 0.1760 0.5000
Ge 0.8240 0.5000 0.6401
Ge 0.5000 0.3599 0.8240
Ge 0.5000 0.6401 0.1760
Ge 0.6401 0.8240 0.5000
Ge 0.5000 0.3599 0.1760
Ge 0.5000 0.6401 0.8240
Ge 0.3599 0.8240 0.5000
Ge 0.1760 0.5000 0.3599
Ge 0.1760 0.5000 0.6401
Ge 0.8240 0.5000 0.3599
Ge 0.6401 0.1760 0.5000
Se 0.3375 0.0000 0.1486
Se 0.0000 0.1486 0.3375
Se 0.0000 0.1486 0.6625
Se 0.6625 0.0000 0.1486
Se 0.8514 0.6625 0.0000
Se 0.3375 0.0000 0.8514
Se 0.0000 0.8514 0.3375
Se 0.1486 0.3375 0.0000
Se 0.0000 0.8514 0.6625
Se 0.6625 0.0000 0.8514
Se 0.1486 0.6625 0.0000
Se 0.8514 0.3375 0.0000
Ir 0.7542 0.7542 0.2458
Ir 0.2458 0.7542 0.2458
Ir 0.2458 0.2458 0.2458
Ir 0.7542 0.7542 0.7542
Ir 0.7542 0.2458 0.7542
Ir 0.2458 0.7542 0.7542
Ir 0.2458 0.2458 0.7542
Ir 0.7542 0.2458 0.2458

## Properties
spin magnetization = 0.000 μB per atom
energy above the most stable polymorph in this dataset = 0.339 eV per atom

VASP calculation (PBE) on Ge2IrSe after structural relaxation.

abc: 3.7280 8.3403 5.5571
angles: 90.00 90.00 90.00
Fractional coordinates of all 8 atoms:
Ge 0.5000 0.8829 0.7166
Ge 0.5000 0.1171 0.2166
Ge 0.0000 0.2463 0.7864
Ge 0.0000 0.7537 0.2864
Ir 0.0000 0.9688 0.9862
Ir 0.0000 0.0312 0.4862
Se 0.5000 0.6085 0.5108
Se 0.5000 0.3915 0.0108

## Properties
spin magnetization = 0.000 μB per atom
total energy = -44.81 eV per cell